A plane-wave DFT calculation with PBE-GGA was carried out for an optimized crystal structure of Pr6TmTh.

Properties
Energy relative to the elements (kJ/mol of formula units): 98.4
Polymorph energy (0 for the lowest one) (eV per formula unit): 0.66
V (Å³/atom): 34.892
Space group: I4/mmm, No. 139
Raw total energy (eV per atom): -4.9436

Unit cell a=8.670 b=8.670 c=8.670 alpha=138.87 beta=138.87 gamma=59.57
Fractional positions:
Pr: 0.119 0.619 0.500
Pr: 0.242 0.242 0.000
Pr: 0.381 0.881 0.500
Pr: 0.619 0.119 0.500
Pr: 0.758 0.758 0.000
Pr: 0.881 0.381 0.500
Tm: 0.500 0.500 0.000
Th: 0.000 0.000 0.000

A plane-wave DFT calculation with PBE-GGA was carried out for an optimized crystal structure of LiCaCdBi.

Properties
Energy relative to the elements (kJ/mol of formula units): -187.5
V (Å³/atom): 26.490
Space group: F-43m, No. 216
Raw total energy (eV per atom): -2.6637

Unit cell a=5.312 b=5.312 c=5.312 alpha=60.00 beta=60.00 gamma=60.00
Fractional positions:
Li: 0.000 0.000 0.000
Ca: 0.500 0.500 0.500
Cd: 0.750 0.750 0.750
Bi: 0.250 0.250 0.250

A plane-wave DFT calculation with PBE-GGA was carried out for an optimized crystal structure of HfTaBe3.

Properties
Energy relative to the elements (kJ/mol of formula units): 525.4
Polymorph energy (0 for the lowest one) (eV per formula unit): 0.00
V (Å³/atom): 16.032
Space group: Pm-3m, No. 221
Raw total energy (eV per atom): -5.5079

Unit cell a=4.312 b=4.312 c=4.312 alpha=90.00 beta=90.00 gamma=90.00
Fractional positions:
Hf: 0.000 0.000 0.000
Ta: 0.500 0.500 0.500
Be: 0.000 0.500 0.500
Be: 0.500 0.000 0.500
Be: 0.500 0.500 0.000

A plane-wave DFT calculation with PBE-GGA was carried out for an optimized crystal structure of NiSnPd6.

Properties
Energy relative to the elements (kJ/mol of formula units): -71.9
Polymorph energy (0 for the lowest one) (eV per formula unit): 0.88
V (Å³/atom): 16.314
Space group: P-1, No. 2
Raw total energy (eV per atom): -5.2108

Unit cell a=5.075 b=5.084 c=5.086 alpha=93.45 beta=93.32 gamma=93.34
Fractional positions:
Ni: 0.000 0.000 0.000
Sn: 0.500 0.500 0.500
Pd: 0.049 0.753 0.438
Pd: 0.247 0.563 0.950
Pd: 0.439 0.049 0.753
Pd: 0.561 0.951 0.247
Pd: 0.753 0.437 0.050
Pd: 0.951 0.247 0.562

A plane-wave DFT calculation with PBE-GGA was carried out for an optimized crystal structure of NaCdMo3.

Properties
Energy relative to the elements (kJ/mol of formula units): 1225.8
Polymorph energy (0 for the lowest one) (eV per formula unit): 0.36
V (Å³/atom): 24.661
Space group: Pm-3m, No. 221
Raw total energy (eV per atom): -4.4045

Unit cell a=4.977 b=4.977 c=4.977 alpha=90.00 beta=90.00 gamma=90.00
Fractional positions:
Na: 0.000 0.000 0.000
Cd: 0.500 0.500 0.500
Mo: 0.000 0.500 0.500
Mo: 0.500 0.000 0.500
Mo: 0.500 0.500 0.000

A plane-wave DFT calculation with PBE-GGA was carried out for an optimized crystal structure of KAs2Se.

Properties
Raw formation energy (eV per atom): 0.055
V (Å³/atom): 26.567
Space group: P4/mmm, No. 123
Raw total energy (eV per atom): -3.4151

Unit cell a=4.025 b=4.025 c=6.559 alpha=90.00 beta=90.00 gamma=90.00
Fractional positions:
K: 0.000 0.000 0.000
As: 0.500 0.500 0.323
As: 0.500 0.500 0.677
Se: 0.000 0.000 0.500